Entry 1:
Entry from the Alexandria database: an optimized crystal structure of NdZrIn2 (PBE-GGA).

Cell and atoms, written as POSCAR:
```
NdZrIn2
1.0
-0.9689 0.2069 3.2332
1.4076 -2.0185 2.3194
7.6113 6.6396 3.6243
Nd Zr In
1 1 2
Cartesian
4.0250 2.4140 4.5885
0.0000 0.0000 0.0000
6.1541 3.7341 6.9104
1.8959 1.0938 2.2665
```

Calculated values
The density is 7.39 g/cm3. Its space group is No. 166. Its formation energy is -0.164 eV per atom.



Entry 2:
Entry from the Alexandria database: an optimized crystal structure of NdZrIn (PBE-GGA).

Cell and atoms, written as POSCAR:
```
NdZrIn
1.0
3.1781 0.0000 0.0000
0.0000 5.2713 0.0000
0.0000 -2.6357 4.5651
Nd Zr In
1 1 1
Cartesian
0.5308 0.0000 0.0000
0.5263 0.0000 3.0434
2.1209 2.6357 1.5217
```

Calculated values
The density is 7.61 g/cm3. Its space group is No. 187. Its formation energy is 0.053 eV per atom.



Entry 3:
Entry from the Alexandria database: an optimized crystal structure of NdZr2In (PBE-GGA).

Cell and atoms, written as POSCAR:
```
NdZr2In
1.0
3.2095 0.0000 0.0000
1.6048 2.7795 0.0000
1.6048 0.9265 11.5482
Nd Zr In
1 2 1
Cartesian
0.0000 0.0000 0.0000
1.6048 0.9265 8.3445
4.8143 2.7795 3.2037
3.2095 1.8530 5.7741
```

Calculated values
The density is 7.12 g/cm3. Its space group is No. 166. Its formation energy is 0.197 eV per atom.